The following is a PBE calculation of a geometry-optimized La6Nd12Ho structure, from the Alexandria database.

Lattice parameters (Å, degrees): 12.4237 12.4237 15.3385 90.00 90.00 120.00
Space group R-3 (No. 148, hexagonal axes)
Symmetry-distinct sites (fractional):
La (0.0134, 0.5924, 0.1866) [18 per cell]
Nd (0.0042, 0.8318, 0.3107) [18 per cell]
Nd (0.0507, 0.1973, 0.9166) [18 per cell]
Ho (0.0000, 0.0000, 0.5000) [3 per cell]

Calculated values
Energy relative to the elements ... 115 meV/atom
Fermi-level density of states ... 1.60 states/eV/atom
Energy above the most stable polymorph in this dataset ... 0 meV per atom
M_tot ... 0.00 μB/f.u.

---

The following is a PBE calculation of a geometry-optimized LaNd3Ho6 structure, from the Alexandria database.

Lattice parameters (Å, degrees): 9.571 15.461 9.006 90.00 90.00 90.00
Space group Cmc2_1 (No. 36)
Symmetry-distinct sites (fractional):
La (0.000, 0.225, 0.000) [4 per cell]
Nd (0.000, 0.051, 0.768) [4 per cell]
Nd (0.247, 0.438, 0.589) [8 per cell]
Ho (0.000, 0.284, 0.634) [4 per cell]
Ho (0.000, 0.450, 0.901) [4 per cell]
Ho (0.175, 0.146, 0.416) [8 per cell]
Ho (0.175, 0.351, 0.255) [8 per cell]

Calculated values
Energy relative to the elements ... 126 meV/atom
Fermi-level density of states ... 1.24 states/eV/atom
Energy above the most stable polymorph in this dataset ... 0 meV per atom
M_tot ... 0.00 μB/f.u.

---

The following is a PBE calculation of a geometry-optimized LaNd2Ho6 structure, from the Alexandria database.

Lattice parameters (Å, degrees): 7.4252 7.4252 19.0777 90.00 90.00 120.00
Space group R3m (No. 160, hexagonal axes)
Symmetry-distinct sites (fractional):
La (0.0000, 0.0000, 0.0000) [3 per cell]
Nd (0.0000, 0.0000, 0.5610) [3 per cell]
Nd (0.0000, 0.0000, 0.7376) [3 per cell]
Ho (0.1756, 0.3513, 0.8820) [9 per cell]
Ho (0.1880, 0.3760, 0.0792) [9 per cell]

Calculated values
Energy relative to the elements ... 308 meV/atom
Fermi-level density of states ... 1.26 states/eV/atom
Energy above the most stable polymorph in this dataset ... 235 meV per atom
M_tot ... 0.00 μB/f.u.

---

The following is a PBE calculation of a geometry-optimized LaNd7Ho12 structure, from the Alexandria database.

Lattice parameters (Å, degrees): 11.335 11.335 11.335 90.00 90.00 90.00
Space group Im-3 (No. 204)
Symmetry-distinct sites (fractional):
La (0.000, 0.000, 0.000) [2 per cell]
Nd (0.000, 0.000, 0.500) [6 per cell]
Nd (0.250, 0.250, 0.250) [8 per cell]
Ho (0.000, 0.252, 0.253) [24 per cell]

Calculated values
Energy relative to the elements ... 625 meV/atom
Fermi-level density of states ... 1.49 states/eV/atom
Energy above the most stable polymorph in this dataset ... 398 meV per atom
M_tot ... 0.00 μB/f.u.

---

The following is a PBE calculation of a geometry-optimized La3Nd7Ho structure, from the Alexandria database.

Lattice parameters (Å, degrees): 6.023 11.463 11.573 90.00 90.00 90.00
Space group Immm (No. 71)
Symmetry-distinct sites (fractional):
La (0.000, 0.000, 0.000) [2 per cell]
La (0.000, 0.288, 0.500) [4 per cell]
Nd (0.000, 0.000, 0.500) [2 per cell]
Nd (0.000, 0.205, 0.198) [8 per cell]
Nd (0.000, 0.500, 0.291) [4 per cell]
Ho (0.000, 0.500, 0.000) [2 per cell]

Calculated values
Energy relative to the elements ... 226 meV/atom
Fermi-level density of states ... 1.51 states/eV/atom
Energy above the most stable polymorph in this dataset ... 11 meV per atom
M_tot ... 0.00 μB/f.u.

---

The following is a PBE calculation of a geometry-optimized LaNdHo6 structure, from the Alexandria database.

Lattice parameters (Å, degrees): 5.054 5.054 10.112 90.00 90.00 90.00
Space group P4/mmm (No. 123)
Symmetry-distinct sites (fractional):
La (0.000, 0.000, 0.000) [1 per cell]
Nd (0.000, 0.000, 0.500) [1 per cell]
Ho (0.000, 0.500, 0.252) [4 per cell]
Ho (0.500, 0.500, 0.000) [1 per cell]
Ho (0.500, 0.500, 0.500) [1 per cell]

Calculated values
Energy relative to the elements ... 28 meV/atom
Fermi-level density of states ... 1.51 states/eV/atom
Energy above the most stable polymorph in this dataset ... 0 meV per atom
M_tot ... 0.00 μB/f.u.

---

The following is a PBE calculation of a geometry-optimized LaNd6Ho4 structure, from the Alexandria database.

Lattice parameters (Å, degrees): 11.1676 11.1676 3.5981 90.00 90.00 120.00
Space group P-6m2 (No. 187)
Symmetry-distinct sites (fractional):
La (0.0000, 0.0000, 0.0000) [1 per cell]
Nd (0.1826, 0.3652, 0.5000) [3 per cell]
Nd (0.5214, 0.0428, 0.0000) [3 per cell]
Ho (0.3279, 0.1639, 0.5000) [3 per cell]
Ho (0.3333, 0.6667, 0.0000) [1 per cell]

Calculated values
Energy relative to the elements ... 154 meV/atom
Fermi-level density of states ... 1.37 states/eV/atom
Energy above the most stable polymorph in this dataset ... 0 meV per atom
M_tot ... 0.00 μB/f.u.

---

The following is a PBE calculation of a geometry-optimized LaNdHo2 structure, from the Alexandria database.

Lattice parameters (Å, degrees): 10.240 5.136 10.199 90.00 90.00 90.00
Space group Pnma (No. 62)
Symmetry-distinct sites (fractional):
La (0.127, 0.250, 0.001) [4 per cell]
Nd (0.125, 0.750, 0.254) [4 per cell]
Ho (0.122, 0.250, 0.501) [4 per cell]
Ho (0.125, 0.750, 0.748) [4 per cell]

Calculated values
Energy relative to the elements ... 25 meV/atom
Fermi-level density of states ... 1.61 states/eV/atom
Energy above the most stable polymorph in this dataset ... 12 meV per atom
M_tot ... 0.00 μB/f.u.

---

The following is a PBE calculation of a geometry-optimized LaNd2Ho9 structure, from the Alexandria database.

Lattice parameters (Å, degrees): 11.3111 11.3111 3.5294 90.00 90.00 120.00
Space group P6/mmm (No. 191)
Symmetry-distinct sites (fractional):
La (0.0000, 0.0000, 0.0000) [1 per cell]
Nd (0.3333, 0.6667, 0.0000) [2 per cell]
Ho (0.0000, 0.5000, 0.0000) [3 per cell]
Ho (0.1770, 0.3539, 0.5000) [6 per cell]

Calculated values
Energy relative to the elements ... 56 meV/atom
Fermi-level density of states ... 1.57 states/eV/atom
Energy above the most stable polymorph in this dataset ... 30 meV per atom
M_tot ... 0.00 μB/f.u.

---

The following is a PBE calculation of a geometry-optimized La4NdHo5 structure, from the Alexandria database.

Lattice parameters (Å, degrees): 10.645 10.645 6.171 90.00 90.00 90.00
Space group I4mm (No. 107)
Symmetry-distinct sites (fractional):
La (0.000, 0.325, 0.000) [8 per cell]
Nd (0.000, 0.000, 0.276) [2 per cell]
Ho (0.000, 0.000, 0.802) [2 per cell]
Ho (0.189, 0.189, 0.546) [8 per cell]

Calculated values
Energy relative to the elements ... 231 meV/atom
Fermi-level density of states ... 1.32 states/eV/atom
Energy above the most stable polymorph in this dataset ... 35 meV per atom
M_tot ... 0.00 μB/f.u.

---

Among the records above, which one has the highest Fermi-level density of states?
LaNdHo2

---

Please write out number 1 again, unchanged.
The following is a PBE calculation of a geometry-optimized La6Nd12Ho structure, from the Alexandria database.

Lattice parameters (Å, degrees): 12.4237 12.4237 15.3385 90.00 90.00 120.00
Space group R-3 (No. 148, hexagonal axes)
Symmetry-distinct sites (fractional):
La (0.0134, 0.5924, 0.1866) [18 per cell]
Nd (0.0042, 0.8318, 0.3107) [18 per cell]
Nd (0.0507, 0.1973, 0.9166) [18 per cell]
Ho (0.0000, 0.0000, 0.5000) [3 per cell]

Calculated values
Energy relative to the elements ... 115 meV/atom
Fermi-level density of states ... 1.60 states/eV/atom
Energy above the most stable polymorph in this dataset ... 0 meV per atom
M_tot ... 0.00 μB/f.u.